VASP calculation (PBE-GGA) on a geometry-optimized TiAs3H structure.

```
data_TiAs3H
_chemical_formula_sum 'Ti1 As3 H1'
_space_group_name_H-M_alt 'P 1'
_space_group_IT_number 1
_cell_length_a 4.230
_cell_length_b 4.230
_cell_length_c 4.230
_cell_angle_alpha 90.00
_cell_angle_beta 90.00
_cell_angle_gamma 90.00
loop_
_space_group_symop_operation_xyz
'x,y,z'
loop_
_atom_site_label
_atom_site_type_symbol
_atom_site_fract_x
_atom_site_fract_y
_atom_site_fract_z
H1 H 0.000 0.000 0.000
As1 As 0.500 0.000 0.000
As2 As 0.000 0.000 0.500
As3 As 0.000 0.500 0.000
Ti1 Ti 0.500 0.500 0.500
```

Values from the calculation:
DFT total energy = -4.70 eV/atom

***

VASP calculation (PBE-GGA) on a geometry-optimized Cr2IrSe structure.

```
data_Cr2IrSe
_chemical_formula_sum 'Cr2 Ir1 Se1'
_space_group_name_H-M_alt 'P 1'
_space_group_IT_number 1
_cell_length_a 2.849
_cell_length_b 2.849
_cell_length_c 6.511
_cell_angle_alpha 90.00
_cell_angle_beta 90.00
_cell_angle_gamma 90.00
loop_
_space_group_symop_operation_xyz
'x,y,z'
loop_
_atom_site_label
_atom_site_type_symbol
_atom_site_fract_x
_atom_site_fract_y
_atom_site_fract_z
Se1 Se 0.500 0.500 0.250
Cr1 Cr 0.000 0.000 0.018
Cr2 Cr 0.000 0.000 0.482
Ir1 Ir 0.500 0.500 0.750
```

Values from the calculation:
formation energy from raw total energies = 0.061 eV/atom